Sm2YEr9, relaxed, DFT PBE; calculated density = 8.354 Mg/m³; excess energy over the best structure of this formula in the dataset = 38 meV/atom; final energy = -4.68 eV/atom; energy of formation from the pure elements = 6.04 kJ per mole of atoms
1.0
-0.839 -2.324 -2.465
10.697 -3.115 -0.704
-6.848 -5.131 7.170
Er Sm Y
9 2 1
Direct
0.000 0.500 0.000 Er
0.500 0.351 0.175 Er
0.500 0.175 0.825 Er
0.500 0.649 0.825 Er
0.000 0.000 0.500 Er
0.500 0.825 0.649 Er
0.000 0.500 0.500 Er
0.500 0.825 0.175 Er
0.500 0.175 0.351 Er
0.000 0.667 0.333 Sm
0.000 0.333 0.667 Sm
0.000 0.000 0.000 Y